{"formula": "CaCoAu2", "functional": "GGA-PBEsol", "state": "optimized geometry", "cell": [[0.0000, 3.2701, 3.2701], [3.2701, 0.0000, 3.2701], [3.2701, 3.2701, 0.0000]], "species": ["Ca", "Co", "Au", "Au"], "fractional_positions": [[0.0000, 0.0000, 0.0000], [0.2500, 0.2500, 0.2500], [0.5000, 0.5000, 0.5000], [0.7500, 0.7500, 0.7500]], "vol_a3_per_fu": 69.9, "sg": "F-43m", "ef_mev_per_atom": 17.4, "density_g_cm3": 11.70}

***

{"formula": "K3GaSb", "functional": "GGA-PBEsol", "state": "optimized geometry", "cell": [[6.0800, 0.0000, 0.0000], [0.0000, 6.0800, 0.0000], [0.0000, 0.0000, 6.0800]], "species": ["K", "K", "K", "Ga", "Sb"], "fractional_positions": [[0.0000, 0.0000, 0.5000], [0.0000, 0.5000, 0.0000], [0.5000, 0.0000, 0.0000], [0.0000, 0.0000, 0.0000], [0.5000, 0.5000, 0.5000]], "vol_a3_per_fu": 224.8, "sg": "Pm-3m", "density_g_cm3": 2.28, "raw_formation_energy_ev_per_atom": 0.379}

***

{"formula": "CrGe2Se2", "functional": "GGA-PBEsol", "state": "optimized geometry", "cell": [[-1.7590, 1.7590, 7.8486], [1.7590, -1.7590, 7.8486], [1.7590, 1.7590, -7.8486]], "species": ["Cr", "Ge", "Ge", "Se", "Se"], "fractional_positions": [[0.0000, 0.0000, 0.0000], [0.2500, 0.7500, 0.5000], [0.7500, 0.2500, 0.5000], [0.4107, 0.4107, 0.0000], [0.5893, 0.5893, 0.0000]], "vol_a3_per_fu": 97.1, "sg": "I4/mmm", "density_g_cm3": 6.07, "raw_formation_energy_ev_per_atom": 0.231}

***

{"formula": "CdHg", "functional": "GGA-PBEsol", "state": "optimized geometry", "cell": [[4.3804, 0.0000, 0.0000], [-2.1902, 3.7935, 0.0000], [0.0000, 0.0000, 5.8825]], "species": ["Cd", "Cd", "Hg", "Hg"], "fractional_positions": [[0.0000, 0.0000, 0.0000], [0.0000, 0.0000, 0.5000], [0.3333, 0.6667, 0.2500], [0.6667, 0.3333, 0.7500]], "vol_a3_per_fu": 48.9, "sg": "P6_3/mmc", "ef_mev_per_atom": 38.2, "density_g_cm3": 10.63}